No. 1
Computed, not measured: a PBEsol-optimized structure of Ba2MoAu at the SCAN level of DFT.

## Properties
DFT total energy, eV for the cell shown: -180.36
Symmetry: C2/m
Energy above the lowest structure with this stoichiometry, meV per atom: 153.5
Formation energy from the elements, eV/f.u.: 2.79
M_tot, μB/atom: 0.4383

Unit cell a=3.9278 b=3.9278 c=9.7931 alpha=94.58 beta=94.58 gamma=49.02
With the nearest neighbours (Å) after each atom.
Sites, in units of the cell vectors:
Ba  0.2426  0.2426  0.2482  3 Mo 3.14-3.36, 3 Au 3.17-3.29, 2 Ba 3.26
Ba  0.7574  0.7574  0.7518  3 Mo 3.14-3.36, 3 Au 3.17-3.29, 2 Ba 3.26
Mo  0.0000  0.0000  0.5000  6 Ba 3.14-3.36, 2 Mo 3.26
Au  0.5000  0.5000  0.0000  6 Ba 3.17-3.29, 2 Au 3.26


No. 2
Computed, not measured: a PBEsol-optimized structure of SrLi2Fe at the SCAN level of DFT.

## Properties
DFT total energy, eV for the cell shown: -43.34
Symmetry: P4/mmm
Energy above the lowest structure with this stoichiometry, meV per atom: 0.0
Formation energy from the elements, eV/f.u.: 1.84
M_tot, μB/atom: 0.8120

Unit cell a=3.4776 b=3.4776 c=7.0805 alpha=90.00 beta=90.00 gamma=90.00
With the nearest neighbours (Å) after each atom.
Sites, in units of the cell vectors:
Sr  0.0000  0.0000  0.0000  8 Li 3.38, 4 Sr 3.48, 2 Fe 3.54
Li  0.5000  0.5000  0.3265  1 Li 2.46, 4 Fe 2.75
Li  0.5000  0.5000  0.6735  1 Li 2.46, 4 Fe 2.75
Fe  0.0000  0.0000  0.5000  8 Li 2.75


No. 3
Computed, not measured: a PBEsol-optimized structure of AsPtSe4 at the SCAN level of DFT.

## Properties
DFT total energy, eV for the cell shown: -163.86
Symmetry: F-43m
Formation energy from raw total energies, eV per atom: 1.14
M_tot, μB/atom: 0.0000

Unit cell a=5.4853 b=5.4853 c=5.4853 alpha=60.00 beta=60.00 gamma=60.00
With the nearest neighbours (Å) after each atom.
Sites, in units of the cell vectors:
As  0.0000  0.0000  0.0000  12 Se 3.22, 4 Pt 3.36
Pt  0.7500  0.7500  0.7500  12 Se 3.21, 4 As 3.36
Se  0.3766  0.3766  0.3766  6 Se 2.71-2.78
Se  0.3766  0.3766  0.8702  6 Se 2.71-2.78
Se  0.3766  0.8702  0.3766  6 Se 2.71-2.78
Se  0.8702  0.3766  0.3766  6 Se 2.71-2.78


No. 4
Computed, not measured: a PBEsol-optimized structure of Sc2InCo at the SCAN level of DFT.

## Properties
DFT total energy, eV for the cell shown: -80.05
Symmetry: F-43m
Formation energy from the elements, eV/f.u.: -0.88
M_tot, μB/atom: 0.0000

Unit cell a=4.5873 b=4.5873 c=4.5873 alpha=60.00 beta=60.00 gamma=60.00
With the nearest neighbours (Å) after each atom.
Sites, in units of the cell vectors:
Sc  0.0000  0.0000  0.0000  4 Co 2.81, 4 Sc 2.81
Sc  0.2500  0.2500  0.2500  4 In 2.81, 4 Sc 2.81
In  0.5000  0.5000  0.5000  4 Co 2.81, 4 Sc 2.81
Co  0.7500  0.7500  0.7500  4 In 2.81, 4 Sc 2.81